Entry 1:
A relaxed CaZrTa2 crystal, computed with PBE.

Crystal system: orthorhombic
Energy above the most stable polymorph in this dataset in meV/atom: 326.4

Unit cell a=5.752 b=5.752 c=5.752 alpha=140.40 beta=133.84 gamma=62.41
Positions (direct):
Ca 0.250 0.750 0.500
Zr 0.750 0.250 0.500
Ta 0.996 0.996 0.000
Ta 0.504 0.504 0.000

Entry 2:
A relaxed CaZrTa2 crystal, computed with PBE.

Crystal system: tetragonal
Energy above the most stable polymorph in this dataset in meV/atom: 0.0

Unit cell a=3.449 b=3.449 c=8.109 alpha=90.00 beta=90.00 gamma=90.00
Positions (direct):
Ca 0.500 0.500 0.776
Zr 0.000 0.000 0.434
Ta 0.000 0.000 0.064
Ta 0.500 0.500 0.227

Entry 3:
A relaxed CaZrTa2 crystal, computed with PBE.

Crystal system: monoclinic
Energy above the most stable polymorph in this dataset in meV/atom: 180.7

Unit cell a=5.560 b=4.710 c=5.559 alpha=115.09 beta=129.95 gamma=89.92
Positions (direct):
Ca 0.743 0.257 0.514
Zr 0.520 0.480 0.959
Ta 0.967 0.034 0.069
Ta 0.271 0.729 0.458

Entry 4:
A relaxed CaZrTa2 crystal, computed with PBE.

Crystal system: orthorhombic
Energy above the most stable polymorph in this dataset in meV/atom: 219.3

Unit cell a=2.965 b=4.818 c=6.368 alpha=90.00 beta=90.00 gamma=90.00
Positions (direct):
Ca 0.500 0.500 0.750
Zr 0.500 0.500 0.250
Ta 0.000 0.000 0.038
Ta 0.000 0.000 0.462

Entry 5:
A relaxed CaZr2Ta crystal, computed with PBE.

Crystal system: cubic
Energy above the most stable polymorph in this dataset in meV/atom: 227.0

Unit cell a=5.060 b=5.060 c=5.060 alpha=60.00 beta=60.00 gamma=60.00
Positions (direct):
Ca 0.000 0.000 0.000
Zr 0.250 0.250 0.250
Zr 0.750 0.750 0.750
Ta 0.500 0.500 0.500

Entry 6:
A relaxed Ca2ZrTa crystal, computed with PBE.

Crystal system: orthorhombic
Energy above the most stable polymorph in this dataset in meV/atom: 254.0

Unit cell a=6.657 b=6.657 c=6.657 alpha=151.80 beta=126.37 gamma=61.68
Positions (direct):
Ca 0.011 0.011 0.000
Ca 0.725 0.225 0.500
Zr 0.285 0.785 0.500
Ta 0.479 0.479 0.000

Entry 7:
A relaxed Ca4Tb crystal, computed with PBE.

Crystal system: cubic

Unit cell a=6.130 b=6.130 c=6.130 alpha=90.00 beta=90.00 gamma=90.00
Positions (direct):
Ca 0.000 0.000 0.000
Ca 0.500 0.000 0.500
Ca 0.000 0.500 0.500
Ca 0.500 0.500 0.000
Tb 0.500 0.500 0.500

Entry 8:
A relaxed Ca2Tb crystal, computed with PBE.

Crystal system: cubic
Energy above the most stable polymorph in this dataset in meV/atom: 223.9

Unit cell a=6.938 b=6.938 c=6.938 alpha=60.00 beta=60.00 gamma=60.00
Positions (direct):
Ca 0.125 0.625 0.625
Ca 0.625 0.125 0.625
Ca 0.625 0.625 0.625
Ca 0.625 0.625 0.125
Tb 0.000 0.000 0.000
Tb 0.250 0.250 0.250

Entry 9:
A relaxed CaTb5 crystal, computed with PBE.

Crystal system: orthorhombic

Unit cell a=3.895 b=5.740 c=9.368 alpha=107.84 beta=90.00 gamma=90.00
Positions (direct):
Ca 0.000 0.000 0.000
Tb 0.000 0.680 0.361
Tb 0.000 0.320 0.639
Tb 0.500 0.500 0.000
Tb 0.500 0.155 0.310
Tb 0.500 0.845 0.690

Entry 10:
A relaxed Ca2Tb crystal, computed with PBE.

Crystal system: monoclinic
Energy above the most stable polymorph in this dataset in meV/atom: 14.4

Unit cell a=5.995 b=5.992 c=3.565 alpha=89.83 beta=89.77 gamma=60.13
Positions (direct):
Ca 0.447 0.994 0.884
Ca 0.114 0.660 0.590
Tb 0.780 0.327 0.237

Entry 11:
A relaxed CaTb2 crystal, computed with PBE.

Crystal system: tetragonal
Energy above the most stable polymorph in this dataset in meV/atom: 0.0

Unit cell a=3.644 b=3.644 c=8.213 alpha=102.82 beta=102.82 gamma=90.00
Positions (direct):
Ca 0.000 0.000 0.000
Tb 0.676 0.676 0.352
Tb 0.324 0.324 0.648

Entry 12:
A relaxed CaTb3 crystal, computed with PBE.

Crystal system: orthorhombic

Unit cell a=3.658 b=6.344 c=6.872 alpha=117.49 beta=105.43 gamma=90.00
Positions (direct):
Ca 0.000 0.997 0.000
Tb 0.241 0.576 0.482
Tb 0.500 0.499 0.000
Tb 0.759 0.094 0.518

Entry 13:
A relaxed CaTb3 crystal, computed with PBE.

Crystal system: cubic

Unit cell a=5.757 b=5.757 c=5.757 alpha=60.00 beta=60.00 gamma=60.00
Positions (direct):
Ca 0.500 0.500 0.500
Tb 0.000 0.000 0.000
Tb 0.750 0.750 0.750
Tb 0.250 0.250 0.250

Entry 14:
A relaxed Ca2Tb crystal, computed with PBE.

Crystal system: tetragonal
Energy above the most stable polymorph in this dataset in meV/atom: 0.0

Unit cell a=3.744 b=3.744 c=8.569 alpha=102.62 beta=102.62 gamma=90.00
Positions (direct):
Ca 0.660 0.660 0.320
Ca 0.340 0.340 0.680
Tb 0.000 0.000 0.000

Entry 15:
A relaxed CaTb8 crystal, computed with PBE.

Crystal system: tetragonal

Unit cell a=5.092 b=8.018 c=8.018 alpha=84.21 beta=71.49 gamma=71.49
Positions (direct):
Ca 0.000 0.000 0.000
Tb 0.672 0.000 0.656
Tb 0.328 0.000 0.344
Tb 0.000 0.338 0.662
Tb 0.328 0.344 0.000
Tb 0.662 0.338 0.338
Tb 0.672 0.656 0.000
Tb 0.000 0.662 0.338
Tb 0.338 0.662 0.662

Entry 16:
A relaxed CaTb3 crystal, computed with PBE.

Crystal system: orthorhombic

Unit cell a=3.639 b=5.791 c=6.405 alpha=90.00 beta=90.00 gamma=90.00
Positions (direct):
Ca 0.000 0.500 0.330
Tb 0.000 0.000 0.993
Tb 0.500 0.000 0.512
Tb 0.500 0.500 0.832

Entry 17:
A relaxed CaTb3 crystal, computed with PBE.

Crystal system: cubic

Unit cell a=5.114 b=5.114 c=5.114 alpha=90.00 beta=90.00 gamma=90.00
Positions (direct):
Ca 0.000 0.000 0.000
Tb 0.000 0.500 0.500
Tb 0.500 0.000 0.500
Tb 0.500 0.500 0.000

Entry 18:
A relaxed CaTb3 crystal, computed with PBE.

Crystal system: tetragonal

Unit cell a=6.253 b=6.253 c=6.253 alpha=131.64 beta=131.64 gamma=70.79
Positions (direct):
Ca 0.000 0.000 0.000
Tb 0.750 0.250 0.500
Tb 0.250 0.750 0.500
Tb 0.500 0.500 0.000

Entry 19:
A relaxed CaTb2 crystal, computed with PBE.

Crystal system: cubic
Energy above the most stable polymorph in this dataset in meV/atom: 116.7

Unit cell a=6.752 b=6.752 c=6.752 alpha=60.00 beta=60.00 gamma=60.00
Positions (direct):
Ca 0.000 0.000 0.000
Ca 0.250 0.250 0.250
Tb 0.125 0.625 0.625
Tb 0.625 0.125 0.625
Tb 0.625 0.625 0.625
Tb 0.625 0.625 0.125

Entry 20:
A relaxed CaTb8Tc2 crystal, computed with PBE.

Crystal system: monoclinic

Unit cell a=6.271 b=6.738 c=8.454 alpha=113.48 beta=87.63 gamma=90.00
Positions (direct):
Ca 0.000 0.000 0.000
Tb 0.598 0.876 0.247
Tb 0.402 0.628 0.753
Tb 0.875 0.783 0.566
Tb 0.125 0.217 0.434
Tb 0.598 0.372 0.247
Tb 0.402 0.124 0.753
Tb 0.153 0.580 0.161
Tb 0.847 0.420 0.839
Tc 0.336 0.733 0.465
Tc 0.664 0.267 0.535

| no. | final energy (eV per formula unit) | ΔH_f (0 K) (eV per atom) |
| --- | --- | --- |
| 1 | -31.7 | 0.643 |
| 2 | -33.0 | 0.316 |
| 3 | -32.3 | 0.497 |
| 4 | -32.1 | 0.536 |
| 5 | -29.2 | 0.447 |
| 6 | -22.1 | 0.586 |
| 7 | -9.3 | 0.671 |
| 8 | -7.6 | 0.339 |
| 9 | -24.3 | 0.140 |
| 10 | -8.2 | 0.129 |
| 11 | -11.1 | 0.059 |
| 12 | -15.6 | 0.078 |
| 13 | -15.2 | 0.168 |
| 14 | -8.3 | 0.115 |
| 15 | -38.6 | 0.050 |
| 16 | -15.5 | 0.092 |
| 17 | -15.4 | 0.126 |
| 18 | -15.4 | 0.119 |
| 19 | -10.7 | 0.176 |
| 20 | -59.4 | 0.038 |